{
  "formula": "NaLa2Hg2",
  "functional": "GGA-PBE",
  "state": "optimized geometry",
  "spacegroup": "P4/mbm, No. 127",
  "energy_ev_per_cell": -26.09,
  "de_polymorph_mev_per_atom": 84.8,
  "formation_energy_ev_per_atom": -0.25,
  "lattice": [[-6.815, 5.931, 2.835], [-4.885, -7.302, 3.532], [1.615, 0.396, 3.053]],
  "species": ["La", "La", "La", "La", "Hg", "Hg", "Hg", "Hg", "Na", "Na"],
  "frac_coords": [[0.343, 0.843, 0.000], [0.843, 0.657, 0.000], [0.157, 0.343, 0.000], [0.657, 0.157, 0.000], [0.638, 0.862, 0.500], [0.862, 0.362, 0.500], [0.362, 0.138, 0.500], [0.138, 0.638, 0.500], [0.500, 0.500, 0.000], [0.000, 0.000, 0.000]]
}

=====

{
  "formula": "NaLaHg2",
  "functional": "GGA-PBE",
  "state": "optimized geometry",
  "spacegroup": "I-42d, No. 122",
  "energy_ev_per_cell": -13.97,
  "de_polymorph_mev_per_atom": 374.8,
  "formation_energy_ev_per_atom": -0.03,
  "lattice": [[4.986, 0.000, 0.000], [0.000, 4.986, 0.000], [2.493, 2.493, 10.089]],
  "species": ["Hg", "Hg", "Hg", "Hg", "La", "La", "Na", "Na"],
  "frac_coords": [[0.875, 0.813, 0.750], [0.375, 0.437, 0.750], [0.187, 0.625, 0.250], [0.563, 0.125, 0.250], [0.000, 0.000, 0.000], [0.750, 0.250, 0.500], [0.250, 0.750, 0.500], [0.500, 0.500, 0.000]]
}

=====

{
  "formula": "NaLa2Hg",
  "functional": "GGA-PBE",
  "state": "optimized geometry",
  "spacegroup": "R3m, No. 160",
  "energy_ev_per_cell": -11.73,
  "formation_energy_ev_per_atom": -0.06,
  "lattice": [[-2.643, -2.659, -0.094], [0.494, -3.061, -2.110], [4.313, -7.216, 8.143]],
  "species": ["La", "La", "Hg", "Na"],
  "frac_coords": [[0.261, 0.261, 0.216], [0.072, 0.072, 0.784], [0.667, 0.667, 0.000], [0.500, 0.500, 0.500]]
}

=====

{
  "formula": "NaLa2Hg2",
  "functional": "GGA-PBE",
  "state": "optimized geometry",
  "spacegroup": "I4/mmm, No. 139",
  "energy_ev_per_cell": -12.31,
  "de_polymorph_mev_per_atom": 231.4,
  "formation_energy_ev_per_atom": -0.11,
  "lattice": [[4.805, 0.000, 0.000], [0.000, 4.805, 0.000], [2.402, 2.402, 7.339]],
  "species": ["Na", "Hg", "Hg", "La", "La"],
  "frac_coords": [[0.000, 0.000, 0.000], [0.404, 0.404, 0.192], [0.596, 0.596, 0.808], [0.750, 0.250, 0.500], [0.250, 0.750, 0.500]]
}

=====

{
  "formula": "Na2LaHg6",
  "functional": "GGA-PBE",
  "state": "optimized geometry",
  "spacegroup": "P6/mmm, No. 191",
  "energy_ev_per_cell": -12.01,
  "formation_energy_ev_per_atom": -0.29,
  "lattice": [[-2.983, 0.720, -1.590], [3.421, -2.797, -7.687], [-4.213, -5.710, 5.317]],
  "species": ["Hg", "Hg", "Hg", "Hg", "Hg", "Hg", "Na", "Na", "La"],
  "frac_coords": [[0.500, 0.337, 0.000], [0.500, 0.337, 0.337], [0.500, 0.000, 0.663], [0.500, 0.663, 0.000], [0.500, 0.663, 0.663], [0.500, 0.000, 0.337], [0.000, 0.333, 0.667], [0.000, 0.667, 0.333], [0.000, 0.000, 0.000]]
}

=====

{
  "formula": "NaLa2Hg",
  "functional": "GGA-PBE",
  "state": "optimized geometry",
  "spacegroup": "P4/mmm, No. 123",
  "energy_ev_per_cell": -11.99,
  "formation_energy_ev_per_atom": -0.13,
  "lattice": [[3.996, 0.000, 0.000], [0.000, 3.996, 0.000], [0.000, 0.000, 8.328]],
  "species": ["Na", "La", "La", "Hg"],
  "frac_coords": [[0.500, 0.500, 0.500], [0.000, 0.000, 0.788], [0.000, 0.000, 0.212], [0.500, 0.500, 0.000]]
}

=====

{
  "formula": "NaLa4Hg5",
  "functional": "GGA-PBE",
  "state": "optimized geometry",
  "spacegroup": "P4/mmm, No. 123",
  "energy_ev_per_cell": -26.97,
  "formation_energy_ev_per_atom": -0.44,
  "lattice": [[3.883, 0.000, 0.000], [0.000, 3.883, 0.000], [0.000, 0.000, 19.438]],
  "species": ["Hg", "Hg", "Hg", "Hg", "Hg", "La", "La", "La", "La", "Na"],
  "frac_coords": [[0.500, 0.500, 0.500], [0.500, 0.500, 0.097], [0.500, 0.500, 0.702], [0.500, 0.500, 0.903], [0.500, 0.500, 0.298], [0.000, 0.000, 0.804], [0.000, 0.000, 0.398], [0.000, 0.000, 0.602], [0.000, 0.000, 0.196], [0.000, 0.000, 0.000]]
}

=====

{
  "formula": "Na2LaHg5",
  "functional": "GGA-PBE",
  "state": "optimized geometry",
  "spacegroup": "I4/mmm, No. 139",
  "energy_ev_per_cell": -11.58,
  "formation_energy_ev_per_atom": -0.31,
  "lattice": [[-3.216, 2.307, 2.826], [0.527, -3.434, 3.403], [7.917, 5.219, 0.565]],
  "species": ["Na", "Na", "Hg", "Hg", "Hg", "Hg", "Hg", "La"],
  "frac_coords": [[0.749, 0.749, 0.498], [0.251, 0.251, 0.502], [0.500, 0.500, 0.000], [0.371, 0.871, 0.742], [0.871, 0.371, 0.742], [0.129, 0.629, 0.258], [0.629, 0.129, 0.258], [0.000, 0.000, 0.000]]
}

=====

Copy entry 6 word for word.
{
  "formula": "NaLa2Hg",
  "functional": "GGA-PBE",
  "state": "optimized geometry",
  "spacegroup": "P4/mmm, No. 123",
  "energy_ev_per_cell": -11.99,
  "formation_energy_ev_per_atom": -0.13,
  "lattice": [[3.996, 0.000, 0.000], [0.000, 3.996, 0.000], [0.000, 0.000, 8.328]],
  "species": ["Na", "La", "La", "Hg"],
  "frac_coords": [[0.500, 0.500, 0.500], [0.000, 0.000, 0.788], [0.000, 0.000, 0.212], [0.500, 0.500, 0.000]]
}